Entry 1:
# Dy3YEr4 (PBE, optimized geometry)
data_Dy3YEr4
_cell_length_a 11.1688
_cell_length_b 7.2282
_cell_length_c 6.2475
_cell_angle_alpha 90.00
_cell_angle_beta 90.00
_cell_angle_gamma 90.00
_space_group_name_H-M_alt 'P 1'
_space_group_IT_number 1
loop_
_space_group_symop_operation_xyz
'x,y,z'
loop_
_atom_site_label
_atom_site_type_symbol
_atom_site_fract_x
_atom_site_fract_y
_atom_site_fract_z
_atom_site_occupancy
Dy1 Dy 0.0000 0.1264 0.0000 1
Dy2 Dy 0.2502 0.1262 0.3342 1
Dy3 Dy 0.2498 0.8738 0.8342 1
Dy4 Dy 0.5000 0.8736 0.5000 1
Dy5 Dy 0.7498 0.1262 0.3342 1
Dy6 Dy 0.7502 0.8738 0.8342 1
Y1 Y 0.0000 0.8741 0.4997 1
Y2 Y 0.5000 0.1259 0.9997 1
Er1 Er 0.0000 0.3758 0.4995 1
Er2 Er 0.0000 0.6238 0.0001 1
Er3 Er 0.2494 0.3763 0.8323 1
Er4 Er 0.2506 0.6237 0.3323 1
Er5 Er 0.5000 0.3762 0.5001 1
Er6 Er 0.5000 0.6242 0.9995 1
Er7 Er 0.7494 0.6237 0.3323 1
Er8 Er 0.7506 0.3763 0.8323 1
# - raw total energy (eV/f.u.) = -38.51
# - formation energy (eV per atom) = 0.0021

---

Entry 2:
# Dy7Y2Er2 (PBE, optimized geometry)
data_Dy7Y2Er2
_cell_length_a 7.9910
_cell_length_b 7.9910
_cell_length_c 6.0206
_cell_angle_alpha 106.14
_cell_angle_beta 106.14
_cell_angle_gamma 90.74
_space_group_name_H-M_alt 'P 1'
_space_group_IT_number 1
loop_
_space_group_symop_operation_xyz
'x,y,z'
loop_
_atom_site_label
_atom_site_type_symbol
_atom_site_fract_x
_atom_site_fract_y
_atom_site_fract_z
_atom_site_occupancy
Dy1 Dy 0.0000 0.0000 0.0000 1
Dy2 Dy 0.0588 0.5901 0.8252 1
Dy3 Dy 0.2344 0.2344 0.5859 1
Dy4 Dy 0.4099 0.9412 0.1748 1
Dy5 Dy 0.5901 0.0588 0.8252 1
Dy6 Dy 0.7657 0.7657 0.4141 1
Dy7 Dy 0.9412 0.4099 0.1748 1
Y1 Y 0.2158 0.7842 0.5000 1
Y2 Y 0.7842 0.2158 0.5000 1
Er1 Er 0.4129 0.4129 0.1969 1
Er2 Er 0.5871 0.5871 0.8031 1
# - raw total energy (eV/f.u.) = -52.48
# - formation energy (eV per atom) = 0.1625

---

Entry 3:
# Dy3Y6Er (PBE, optimized geometry)
data_Dy3Y6Er
_cell_length_a 10.9396
_cell_length_b 10.9396
_cell_length_c 6.2487
_cell_angle_alpha 90.00
_cell_angle_beta 90.00
_cell_angle_gamma 119.84
_space_group_name_H-M_alt 'P 1'
_space_group_IT_number 1
loop_
_space_group_symop_operation_xyz
'x,y,z'
loop_
_atom_site_label
_atom_site_type_symbol
_atom_site_fract_x
_atom_site_fract_y
_atom_site_fract_z
_atom_site_occupancy
Dy1 Dy 0.1106 0.8894 0.5000 1
Dy2 Dy 0.2192 0.4395 0.1179 1
Dy3 Dy 0.4395 0.2192 0.6179 1
Dy4 Dy 0.5605 0.7808 0.1179 1
Dy5 Dy 0.7808 0.5605 0.6179 1
Dy6 Dy 0.8894 0.1106 0.0000 1
Y1 Y 0.0357 0.4532 0.7126 1
Y2 Y 0.1190 0.2096 0.5320 1
Y3 Y 0.2096 0.1190 0.0320 1
Y4 Y 0.2205 0.7795 0.9191 1
Y5 Y 0.4532 0.0357 0.2126 1
Y6 Y 0.4526 0.5474 0.6641 1
Y7 Y 0.5474 0.4526 0.1641 1
Y8 Y 0.5468 0.9643 0.7126 1
Y9 Y 0.7795 0.2205 0.4191 1
Y10 Y 0.7904 0.8810 0.5320 1
Y11 Y 0.8810 0.7904 0.0320 1
Y12 Y 0.9643 0.5468 0.2126 1
Er1 Er 0.2943 0.7057 0.4236 1
Er2 Er 0.7057 0.2943 0.9236 1
# - raw total energy (eV/f.u.) = -55.71
# - formation energy (eV per atom) = 0.1448